(1)
A relaxed Pr4Te2RhSe crystal, computed with PBE-GGA.

Unit cell a=7.646 b=4.295 c=7.780 alpha=90.00 beta=108.60 gamma=90.00
Fractional coordinates of all 8 atoms:
Pr 0.224 0.000 0.213
Pr 0.251 0.500 0.775
Pr 0.749 0.500 0.225
Pr 0.776 0.000 0.787
Te 0.000 0.000 0.500
Te 0.500 0.500 0.500
Rh 0.000 0.500 0.000
Se 0.500 0.000 0.000

## Properties
* magnetization: 0.00 μB/f.u.
* crystal system: monoclinic
* DFT total energy: -46.89 eV per cell
* SG: P2/m

***

(2)
A relaxed AcNiAs2 crystal, computed with PBE-GGA.

Unit cell a=3.513 b=3.513 c=6.804 alpha=90.00 beta=90.00 gamma=90.00
Fractional coordinates of all 4 atoms:
Ac 0.000 0.000 0.000
Ni 0.000 0.000 0.500
As 0.500 0.500 0.319
As 0.500 0.500 0.681

## Properties
* magnetization: 0.00 μB/f.u.
* crystal system: tetragonal
* ΔH_f (0 K): -0.190 eV/atom
* SG: P4/mmm